Computed, not measured: a relaxed MgVPO2 crystal at the PBE+U level of DFT.

Lattice parameters (Å, degrees): 3.7166 3.7166 5.0140 90.00 90.00 90.00
Fractional coordinates of all 5 atoms:
Mg: 0.0000 0.0000 0.0000
V: 0.5000 0.5000 0.5000
P: 0.5000 0.5000 0.0000
O: 0.0000 0.5000 0.5000
O: 0.5000 0.0000 0.5000

Results
Space group: P4/mmm
ΔE to the lowest computed polymorph: 0 meV/atom